! PBE U2P3Ir, relaxed; values from VASP
! Total energy = -8.61 eV per atom
! Crystal system = orthorhombic
! ΔH_f (0 K) = -0.667 eV/atom
! Volume = 214.1 Å³/cell
! Magnetization = 6.947 Bohr magnetons per cell
&SYSTEM
  ibrav = 0, nat = 12, ntyp = 3
/
ATOMIC_SPECIES
U 238.03 U.upf
P 30.97 P.upf
Ir 192.22 Ir.upf
CELL_PARAMETERS angstrom
5.347 0.541 -1.393
-1.604 5.129 -1.393
-0.408 -0.617 7.872
ATOMIC_POSITIONS crystal
U 0.250 0.750 0.500
U 0.773 0.773 0.000
U 0.750 0.250 0.500
U 0.227 0.227 0.000
P 0.672 0.152 0.824
P 0.848 0.328 0.176
P 0.328 0.848 0.176
P 0.152 0.672 0.824
P 0.819 0.819 0.637
P 0.181 0.181 0.363
Ir 0.351 0.351 0.701
Ir 0.649 0.649 0.299

! PBE PrAl2Pt8, relaxed; values from VASP
! Total energy = -5.93 eV per atom
! Crystal system = tetragonal
! ΔH_f (0 K) = -0.421 eV/atom
! Volume = 233.3 Å³/cell
! Magnetization = 0.000 Bohr magnetons per cell
&SYSTEM
  ibrav = 0, nat = 11, ntyp = 3
/
ATOMIC_SPECIES
Pr 140.91 Pr.upf
Al 26.98 Al.upf
Pt 195.08 Pt.upf
CELL_PARAMETERS angstrom
5.369 0.000 0.000
0.000 5.369 0.000
0.000 0.000 8.093
ATOMIC_POSITIONS crystal
Pr 0.500 0.500 0.500
Al 0.500 0.000 0.000
Al 0.000 0.500 0.000
Pt 0.754 0.754 0.213
Pt 0.754 0.246 0.787
Pt 0.754 0.754 0.787
Pt 0.754 0.246 0.213
Pt 0.246 0.754 0.213
Pt 0.246 0.754 0.787
Pt 0.246 0.246 0.213
Pt 0.246 0.246 0.787

! PBE Ta2HgRu, relaxed; values from VASP
! Total energy = -8.28 eV per atom
! Crystal system = tetragonal
! ΔH_f (0 K) = 0.042 eV/atom
! Volume = 70.9 Å³/cell
! Magnetization = 0.000 Bohr magnetons per cell
&SYSTEM
  ibrav = 0, nat = 4, ntyp = 3
/
ATOMIC_SPECIES
Hg 200.59 Hg.upf
Ru 101.07 Ru.upf
Ta 180.95 Ta.upf
CELL_PARAMETERS angstrom
2.984 0.007 0.000
-0.005 2.984 0.000
0.000 0.000 7.960
ATOMIC_POSITIONS crystal
Hg 0.500 0.500 0.250
Ru 0.500 0.500 0.750
Ta 0.000 0.000 0.969
Ta 0.000 0.000 0.531

! PBE TlSiTeC2, relaxed; values from VASP
! Formation energy from raw total energies = 2432 meV/atom
! Total energy = -3.44 eV per atom
! Crystal system = tetragonal
! Volume = 111.0 Å³/cell
! Magnetization = 0.592 Bohr magnetons per cell
&SYSTEM
  ibrav = 0, nat = 5, ntyp = 4
/
ATOMIC_SPECIES
C 12.01 C.upf
Tl 204.38 Tl.upf
Te 127.60 Te.upf
Si 28.09 Si.upf
CELL_PARAMETERS angstrom
4.242 0.000 0.000
0.000 6.165 0.000
0.000 0.000 4.242
ATOMIC_POSITIONS crystal
C 0.000 0.000 0.500
C 0.500 0.000 0.000
Tl 0.000 0.500 0.000
Te 0.000 0.000 0.000
Si 0.500 0.500 0.500

! PBE Ba5In4Ag, relaxed; values from VASP
! Total energy = -2.70 eV per atom
! Crystal system = tetragonal
! ΔH_f (0 K) = -0.361 eV/atom
! Volume = 383.2 Å³/cell
! Magnetization = 0.000 Bohr magnetons per cell
&SYSTEM
  ibrav = 0, nat = 10, ntyp = 3
/
ATOMIC_SPECIES
Ba 137.33 Ba.upf
In 114.82 In.upf
Ag 107.87 Ag.upf
CELL_PARAMETERS angstrom
-1.343 2.967 2.776
-1.219 -3.083 2.706
18.956 0.287 8.863
ATOMIC_POSITIONS crystal
Ba 0.500 0.500 0.097
Ba 0.500 0.500 0.298
Ba 0.500 0.500 0.500
Ba 0.500 0.500 0.702
Ba 0.500 0.500 0.903
In 0.000 0.000 0.199
In 0.000 0.000 0.395
In 0.000 0.000 0.605
In 0.000 0.000 0.801
Ag 0.000 0.000 0.000

! PBE RePd3, relaxed; values from VASP
! Total energy = -6.99 eV per atom
! Crystal system = triclinic
! ΔH_f (0 K) = 0.021 eV/atom
! Volume = 121.3 Å³/cell
! Magnetization = 0.000 Bohr magnetons per cell
&SYSTEM
  ibrav = 0, nat = 8, ntyp = 2
/
ATOMIC_SPECIES
Re 186.21 Re.upf
Pd 106.42 Pd.upf
CELL_PARAMETERS angstrom
4.797 -0.483 -0.089
-1.239 3.402 -1.354
0.257 0.816 7.359
ATOMIC_POSITIONS crystal
Re 0.840 0.699 0.558
Re 0.160 0.301 0.442
Pd 0.313 0.191 0.069
Pd 0.687 0.809 0.931
Pd 0.436 0.059 0.682
Pd 0.564 0.941 0.318
Pd 0.058 0.434 0.808
Pd 0.942 0.566 0.192